Density functional theory data (PBE-GGA) for Cs4SmPa3S12 after structural relaxation.

Unit cell a=9.2816 b=9.2816 c=9.2816 alpha=109.47 beta=109.47 gamma=109.47
Last column: nearest neighbours and their distance in Å.
Element x y z (fractional)
Cs1 0.0000 0.0000 0.5000  12 S 3.79
Cs2 0.0000 0.5000 0.0000  12 S 3.79
Cs3 0.5000 0.0000 0.0000  12 S 3.79
Cs4 0.5000 0.5000 0.5000  12 S 3.79
Sm1 0.0000 0.0000 0.0000  6 S 2.78
Pa1 0.0000 0.5000 0.5000  6 S 2.58-2.68
Pa2 0.5000 0.0000 0.5000  6 S 2.58-2.68
Pa3 0.5000 0.5000 0.0000  6 S 2.58-2.68
S1 0.0000 0.2597 0.2597  1 Pa 2.58, 1 Sm 2.78
S2 0.0000 0.7403 0.7403  1 Pa 2.58, 1 Sm 2.78
S3 0.2500 0.5000 0.7500  2 Pa 2.68
S4 0.2500 0.7500 0.5000  2 Pa 2.68
S5 0.2597 0.0000 0.2597  1 Pa 2.58, 1 Sm 2.78
S6 0.2597 0.2597 0.0000  1 Pa 2.58, 1 Sm 2.78
S7 0.5000 0.2500 0.7500  2 Pa 2.68
S8 0.5000 0.7500 0.2500  2 Pa 2.68
S9 0.7403 0.0000 0.7403  1 Pa 2.58, 1 Sm 2.78
S10 0.7403 0.7403 0.0000  1 Pa 2.58, 1 Sm 2.78
S11 0.7500 0.2500 0.5000  2 Pa 2.68
S12 0.7500 0.5000 0.2500  2 Pa 2.68

Calculated values
- energy (eV per atom) = -5.7992
- D(E_F) (states/eV/f.u.) = 10.39
- calculated volume (Å³/atom) = 30.78
- formation energy from raw total energies (eV per atom) = -1.492